Here is crystalline La3Pr2Tm4 at its relaxed geometry from the Alexandria database. Energies are from GGA-PBE.

Structure (POSCAR):
```
La3Pr2Tm4
1.0
8.279 -5.953 0.000
8.279 5.953 0.000
-0.851 0.000 6.148
La Pr Tm
6 4 8
Cartesian
7.641 4.480 4.611 La
4.856 1.678 5.555 La
5.281 -1.678 2.481 La
10.426 1.678 3.667 La
10.852 -1.678 0.593 La
8.067 -4.480 1.537 La
6.179 4.347 1.284 Pr
9.954 4.347 1.790 Pr
5.753 -4.347 4.358 Pr
9.529 -4.347 4.863 Pr
3.518 1.408 2.200 Tm
6.960 1.372 2.819 Tm
3.093 -1.408 5.273 Tm
9.173 1.372 0.255 Tm
6.535 -1.372 5.893 Tm
12.615 1.408 0.874 Tm
8.747 -1.372 3.329 Tm
12.189 -1.408 3.948 Tm
```

Calculated values
**E_form**: 96 meV per atom
**V**: 302.97 Å³/f.u.
**Magnetic moment**: 0.0 μB/f.u.

Here is crystalline U6As5P at its relaxed geometry from the Alexandria database. Energies are from GGA-PBE.

Structure (POSCAR):
```
U6As5P
1.0
3.520 -6.081 0.000
3.520 6.081 0.000
-2.339 0.000 6.648
U As P
6 5 1
Cartesian
-0.025 1.978 4.947 U
1.115 0.000 1.673 U
-0.025 -1.978 4.947 U
4.726 1.978 1.702 U
3.586 0.000 4.975 U
4.726 -1.978 1.702 U
3.520 4.000 0.000 As
2.351 2.015 3.324 As
3.520 0.000 0.000 As
2.351 -2.015 3.324 As
3.520 -4.000 0.000 As
-1.169 0.000 3.324 P
```

Calculated values
**E_form**: -755 meV per atom
**V**: 284.61 Å³/f.u.
**Magnetic moment**: 14.5 μB/f.u.

Here is crystalline AcPmNi2Sb2 at its relaxed geometry from the Alexandria database. Energies are from GGA-PBE.

Structure (POSCAR):
```
AcPmNi2Sb2
1.0
4.429 0.000 0.000
-2.214 3.835 0.000
0.000 0.000 8.520
Ac Pm Ni Sb
1 1 2 2
Cartesian
0.000 0.000 0.000 Ac
0.000 0.000 4.260 Pm
0.000 2.557 6.248 Ni
2.214 1.278 2.271 Ni
0.000 2.557 2.273 Sb
2.214 1.278 6.247 Sb
```

Calculated values
**ΔE_f (raw)**: -0.82 eV/atom
**V**: 144.72 Å³/f.u.
**Magnetic moment**: 0.0 μB/f.u.

Here is crystalline CsZnP at its relaxed geometry from the Alexandria database. Energies are from GGA-PBE.

Structure (POSCAR):
```
CsZnP
1.0
6.373 0.000 0.000
0.000 4.153 0.000
-1.894 0.000 7.623
Cs Zn P
2 2 2
Cartesian
0.623 1.038 2.374 Cs
3.857 3.115 5.249 Cs
0.699 3.115 7.110 Zn
3.780 1.038 0.512 Zn
0.437 1.038 6.032 P
4.042 3.115 1.590 P
```

Calculated values
**E_form**: -354 meV per atom
**V**: 100.89 Å³/f.u.
**Magnetic moment**: 0.0 μB/f.u.

Here is crystalline La8Tb3Dy3 at its relaxed geometry from the Alexandria database. Energies are from GGA-PBE.

Structure (POSCAR):
```
La8Tb3Dy3
1.0
-2.856 5.542 7.651
2.856 -5.542 7.651
2.856 5.542 -7.651
La Tb Dy
8 3 3
Cartesian
2.856 1.794 -1.631 La
2.856 3.801 -4.135 La
2.856 1.794 1.631 La
0.000 1.741 3.516 La
2.856 3.801 4.135 La
0.000 3.748 6.020 La
0.000 1.741 11.786 La
0.000 3.748 9.282 La
2.856 0.000 4.960 Tb
0.000 0.000 7.651 Tb
0.000 5.542 2.692 Tb
0.000 0.000 0.000 Dy
0.000 3.335 0.000 Dy
0.000 7.750 0.000 Dy
```

Calculated values
**E_form**: 98 meV per atom
**V**: 484.38 Å³/f.u.
**Magnetic moment**: 0.0 μB/f.u.

Here is crystalline Ac2SmTe2Se2 at its relaxed geometry from the Alexandria database. Energies are from GGA-PBE.

Structure (POSCAR):
```
Ac2SmTe2Se2
1.0
-2.709 2.709 8.397
2.709 -2.709 8.397
2.709 2.709 -8.397
Ac Sm Te Se
2 1 2 2
Cartesian
0.000 0.000 2.060 Ac
0.000 0.000 14.734 Ac
0.000 0.000 8.397 Sm
0.000 0.000 5.315 Te
0.000 0.000 11.479 Te
2.709 0.000 0.000 Se
0.000 2.709 0.000 Se
```

Calculated values
**ΔE_f (raw)**: -1.51 eV/atom
**V**: 246.44 Å³/f.u.
**Magnetic moment**: 0.0 μB/f.u.

Here is crystalline Al2PbAu2 at its relaxed geometry from the Alexandria database. Energies are from GGA-PBE.

Structure (POSCAR):
```
Al2PbAu2
1.0
-2.247 2.247 5.284
2.247 -2.247 5.284
2.247 2.247 -5.284
Al Pb Au
2 1 2
Cartesian
0.000 0.000 1.313 Al
0.000 0.000 9.254 Al
0.000 0.000 5.284 Pb
2.247 0.000 2.642 Au
0.000 2.247 2.642 Au
```

Calculated values
**E_form**: -172 meV per atom
**V**: 106.73 Å³/f.u.
**Magnetic moment**: 0.0 μB/f.u.

Here is crystalline YEr6Tm2 at its relaxed geometry from the Alexandria database. Energies are from GGA-PBE.

Structure (POSCAR):
```
YEr6Tm2
1.0
4.510 -8.730 0.000
4.510 8.730 0.000
-0.585 0.000 3.524
Y Er Tm
1 6 2
Cartesian
0.000 0.000 0.000 Y
2.903 2.904 0.583 Er
2.640 0.000 2.355 Er
2.903 -2.904 0.583 Er
5.533 2.904 2.942 Er
5.796 0.000 1.170 Er
5.533 -2.904 2.942 Er
4.218 5.782 1.762 Tm
4.218 -5.782 1.762 Tm
```

Calculated values
**E_form**: 126 meV per atom
**V**: 277.56 Å³/f.u.
**Magnetic moment**: 0.0 μB/f.u.

Here is crystalline NdBePPt at its relaxed geometry from the Alexandria database. Energies are from GGA-PBE.

Structure (POSCAR):
```
NdBePPt
1.0
4.099 0.000 0.000
0.000 4.099 0.000
0.000 0.000 8.794
Nd Be P Pt
2 2 2 2
Cartesian
1.025 1.025 1.651 Nd
3.074 3.074 7.143 Nd
1.025 1.025 5.446 Be
3.074 3.074 3.348 Be
1.025 1.025 7.549 P
3.074 3.074 1.244 P
1.025 3.074 4.397 Pt
3.074 1.025 4.397 Pt
```

Calculated values
**E_form**: -1076 meV per atom
**V**: 73.88 Å³/f.u.
**Magnetic moment**: 0.0 μB/f.u.

Here is crystalline OsPb2Br at its relaxed geometry from the Alexandria database. Energies are from GGA-PBE.

Structure (POSCAR):
```
OsPb2Br
1.0
3.409 0.000 0.000
0.000 4.736 0.000
0.000 0.000 6.495
Os Pb Br
1 2 1
Cartesian
0.000 0.000 0.000 Os
0.000 2.368 3.247 Pb
1.704 2.368 0.000 Pb
1.704 0.000 3.247 Br
```

Calculated values
**ΔE_f (raw)**: 0.96 eV/atom
**V**: 104.86 Å³/f.u.
**Magnetic moment**: 1.3 μB/f.u.

Here is crystalline SrCdP2O7 at its relaxed geometry from the Alexandria database. Energies are from GGA-PBE.

Structure (POSCAR):
```
SrCdP2O7
1.0
5.508 0.000 0.000
0.000 8.668 0.000
-5.469 0.000 13.148
Sr Cd P O
4 4 8 28
Cartesian
-1.187 1.523 3.020 Sr
-3.921 2.811 9.595 Sr
3.959 5.857 3.554 Sr
1.225 7.145 10.128 Sr
-1.703 5.586 7.805 Cd
1.032 7.416 1.230 Cd
-0.994 1.252 11.918 Cd
1.741 3.082 5.344 Cd
1.638 1.875 0.350 P
-1.097 2.460 6.924 P
-1.308 0.271 8.873 P
1.426 4.063 2.299 P
-1.388 4.605 10.850 P
1.346 8.397 4.275 P
1.135 6.209 6.225 P
-1.600 6.794 12.799 P
-4.280 1.846 12.034 O
-1.545 2.488 5.460 O
0.698 1.011 1.229 O
-2.037 3.323 7.803 O
-2.697 0.468 9.483 O
0.038 3.866 2.909 O
-2.499 5.302 10.036 O
0.236 7.700 3.462 O
-1.320 0.923 7.383 O
1.415 3.411 0.809 O
-0.345 5.844 6.001 O
-3.079 7.158 12.576 O
1.825 5.523 2.092 O
-0.909 7.479 8.666 O
0.947 1.189 4.482 O
-1.787 3.145 11.056 O
3.117 1.510 0.573 O
0.383 2.824 7.147 O
-1.377 5.257 12.340 O
1.358 7.745 5.765 O
-0.197 0.968 9.687 O
2.537 3.366 3.113 O
0.001 4.802 10.239 O
2.735 8.200 3.665 O
2.075 5.345 5.345 O
-0.660 7.657 11.920 O
1.584 6.180 7.689 O
4.318 6.822 1.115 O
```

Calculated values
**ΔE_f (raw)**: -2.36 eV/atom
**V**: 156.93 Å³/f.u.
**Magnetic moment**: 0.0 μB/f.u.

Here is crystalline Ce2DyPb at its relaxed geometry from the Alexandria database. Energies are from GGA-PBE.

Structure (POSCAR):
```
Ce2DyPb
1.0
4.642 0.000 0.000
0.000 4.642 0.000
0.000 0.000 5.213
Ce Dy Pb
2 1 1
Cartesian
0.000 2.321 0.000 Ce
2.321 0.000 0.000 Ce
0.000 0.000 2.607 Dy
2.321 2.321 2.607 Pb
```

Calculated values
**E_form**: -266 meV per atom
**V**: 112.34 Å³/f.u.
**Magnetic moment**: 2.0 μB/f.u.

Here is crystalline LiCo2Ir at its relaxed geometry from the Alexandria database. Energies are from GGA-PBE.

Structure (POSCAR):
```
LiCo2Ir
1.0
4.357 -1.293 0.000
4.357 1.293 0.000
-0.746 0.000 4.313
Li Co Ir
1 2 1
Cartesian
0.000 0.000 0.000 Li
1.553 0.000 3.212 Co
6.415 0.000 1.102 Co
3.984 0.000 2.157 Ir
```

Calculated values
**E_form**: 94 meV per atom
**V**: 48.61 Å³/f.u.
**Magnetic moment**: 3.4 μB/f.u.

Here is crystalline Sm6CdGa2 at its relaxed geometry from the Alexandria database. Energies are from GGA-PBE.

Structure (POSCAR):
```
Sm6CdGa2
1.0
8.063 -3.643 0.000
8.063 3.643 0.000
-1.592 0.000 4.818
Sm Cd Ga
6 1 2
Cartesian
4.794 1.853 1.591 Sm
8.063 1.906 0.000 Sm
9.740 1.853 3.227 Sm
4.794 -1.853 1.591 Sm
8.063 -1.906 0.000 Sm
9.740 -1.853 3.227 Sm
7.267 0.000 2.409 Cd
2.443 0.000 0.808 Ga
12.091 0.000 4.010 Ga
```

Calculated values
**E_form**: -123 meV per atom
**V**: 283.07 Å³/f.u.
**Magnetic moment**: 0.0 μB/f.u.

Here is crystalline Zn2Hg at its relaxed geometry from the Alexandria database. Energies are from GGA-PBE.

Structure (POSCAR):
```
Zn2Hg
1.0
3.721 0.000 0.000
0.000 3.721 0.000
0.000 0.000 4.485
Zn Hg
2 1
Cartesian
0.000 1.861 0.000 Zn
1.861 0.000 0.000 Zn
0.000 0.000 2.243 Hg
```

Calculated values
**E_form**: 140 meV per atom
**V**: 62.11 Å³/f.u.
**Magnetic moment**: 0.0 μB/f.u.

Here is crystalline Sr2HoCu3O6 at its relaxed geometry from the Alexandria database. Energies are from GGA-PBE.

Structure (POSCAR):
```
Sr2HoCu3O6
1.0
3.807 0.000 0.000
0.000 3.807 0.000
0.000 0.000 11.659
Sr Ho Cu O
2 1 3 6
Cartesian
0.000 0.000 2.307 Sr
0.000 0.000 9.352 Sr
0.000 0.000 5.830 Ho
1.903 1.903 0.000 Cu
1.903 1.903 4.162 Cu
1.903 1.903 7.497 Cu
0.000 1.903 4.382 O
0.000 1.903 7.277 O
1.903 0.000 4.382 O
1.903 0.000 7.277 O
1.903 1.903 1.820 O
1.903 1.903 9.840 O
```

Calculated values
**ΔE_f (raw)**: -1.91 eV/atom
**V**: 168.97 Å³/f.u.
**Magnetic moment**: 0.0 μB/f.u.

Here is crystalline Sr3ZnAu2O6 at its relaxed geometry from the Alexandria database. Energies are from GGA-PBE.

Structure (POSCAR):
```
Sr3ZnAu2O6
1.0
5.772 0.000 0.000
-2.886 4.999 0.000
0.000 0.000 6.496
Sr Zn Au O
3 1 2 6
Cartesian
0.000 0.000 0.000 Sr
0.000 3.333 3.991 Sr
2.886 1.666 2.505 Sr
0.000 0.000 3.248 Zn
0.000 3.333 0.706 Au
2.886 1.666 5.790 Au
0.000 1.629 2.035 O
-1.476 4.185 2.035 O
1.411 0.814 4.462 O
1.476 4.185 2.035 O
4.362 0.814 4.462 O
2.886 3.370 4.462 O
```

Calculated values
**ΔE_f (raw)**: -1.30 eV/atom
**V**: 187.46 Å³/f.u.
**Magnetic moment**: 0.0 μB/f.u.

Here is crystalline Ac2SnHg2O2 at its relaxed geometry from the Alexandria database. Energies are from GGA-PBE.

Structure (POSCAR):
```
Ac2SnHg2O2
1.0
4.047 0.000 0.000
-2.024 3.505 0.000
0.000 0.000 15.648
Ac Sn Hg O
2 1 2 2
Cartesian
0.000 2.337 4.987 Ac
2.024 1.168 10.661 Ac
0.000 0.000 7.824 Sn
0.000 0.000 1.624 Hg
0.000 0.000 14.024 Hg
0.000 2.337 11.186 O
2.024 1.168 4.462 O
```

Calculated values
**ΔE_f (raw)**: -1.57 eV/atom
**V**: 222.00 Å³/f.u.
**Magnetic moment**: 0.0 μB/f.u.

Here is crystalline ReRuPtRh at its relaxed geometry from the Alexandria database. Energies are from GGA-PBE.

Structure (POSCAR):
```
ReRuPtRh
1.0
4.242 0.000 0.000
0.000 1.342 5.176
0.000 -1.342 5.176
Re Ru Pt Rh
1 1 1 1
Cartesian
0.000 0.000 0.000 Re
2.121 0.000 6.690 Ru
0.000 0.000 2.630 Pt
2.121 0.000 4.120 Rh
```

Calculated values
**E_form**: 58 meV per atom
**V**: 58.94 Å³/f.u.
**Magnetic moment**: 0.0 μB/f.u.

Here is crystalline TeAs at its relaxed geometry from the Alexandria database. Energies are from GGA-PBE.

Structure (POSCAR):
```
TeAs
1.0
3.913 0.000 0.000
-1.956 3.388 0.000
0.000 0.000 3.910
Te As
1 1
Cartesian
0.000 0.000 0.000 Te
0.000 2.259 1.955 As
```

Calculated values
**ΔE_f (raw)**: 0.26 eV/atom
**V**: 51.84 Å³/f.u.
**Magnetic moment**: 0.0 μB/f.u.